Computed, not measured: a relaxed structure of K2MoRu at the PBE level of DFT.

Cell lengths 2.712, 5.951, 5.356 Å; angles 90.00, 102.03, 90.00 degrees
Space group P2/m (No. 10)
Inequivalent atoms, fractional coordinates:
1 K 0.212 0.000 0.256 x2
2 Mo 0.500 0.500 0.000 x1
3 Ru 0.000 0.500 0.500 x1

Summary:
The electronic total energy is -16.9 eV per formula unit. Its energy relative to the lowest polymorph listed for this composition is 2.52 eV/f.u. The total magnetic moment comes out at 0.000 Bohr magnetons per cell. The formation energy is 1.361 eV/atom.